Below is HfTaBr2 after structural relaxation, with properties calculated at the GGA-PBE level.

Cell and atoms, written as POSCAR:
```
HfTaBr2
1.0
-2.536 3.314 2.326
-1.790 3.740 -2.374
-4.711 0.342 -0.717
Ta Hf Br
1 1 2
Cartesian
-4.518 3.698 -0.383
0.000 0.000 0.000
-6.778 5.546 -0.574
-2.259 1.849 -0.191
```

The crystal system is cubic. For the formation energy from raw total energies, the calculation gives 62.67 kJ/mol of atoms. For the density, the calculation gives 11.2 g cm⁻³. Its space-group type is Fm-3m (225). For the distance to the lowest polymorph of the same formula, the calculation gives 0.6476 eV/atom. The value obtained for the spin magnetization is 2.08 μB/f.u. The value obtained for the calculated volume is 19.3 Å³ per atom. For the energy, the calculation gives -5.638 eV/atom.

=====

Below is Np2As3Pd after structural relaxation, with properties calculated at the GGA-PBE level.

Cell and atoms, written as POSCAR:
```
Np2As3Pd
1.0
-5.222 -2.469 0.135
0.717 -1.070 8.164
0.108 6.462 -1.254
Np As Pd
4 6 2
Cartesian
-3.055 -0.054 4.445
-1.341 2.976 2.600
-3.416 0.481 0.363
-0.981 2.441 6.681
-0.689 1.470 0.253
-4.067 1.987 2.710
-2.067 -2.035 6.190
-2.437 -1.505 2.109
-3.707 1.452 6.792
-0.329 0.935 4.335
0.168 -0.273 2.041
-4.672 -3.267 6.258
```

The crystal system is monoclinic. As for the formation energy: -0.440 eV per atom. For the density, the calculation gives 10.1 g cm⁻³. Its space-group type is C2/c (15). The value obtained for the spin magnetization is 7.79 μB/f.u. The value obtained for the calculated volume is 22.1 Å³ per atom. For the energy, the calculation gives -7.944 eV/atom.

=====

Below is ScMn3Se after structural relaxation, with properties calculated at the GGA-PBE level.

Cell and atoms, written as POSCAR:
```
ScMn3Se
1.0
-2.940 1.536 3.092
1.012 -3.499 2.701
3.301 2.441 1.926
Sc Mn Se
1 3 1
Cartesian
0.686 0.239 3.859
0.506 -1.749 1.351
-1.470 0.768 1.546
1.650 1.221 0.963
0.000 0.000 0.000
```

The crystal system is cubic. For the formation energy from raw total energies, the calculation gives 28.91 kJ/mol of atoms. For the density, the calculation gives 5.1 g cm⁻³. Its space-group type is Pm-3m (221). For the distance to the lowest polymorph of the same formula, the calculation gives 0.0000 eV/atom. The value obtained for the spin magnetization is 8.24 μB/f.u. The value obtained for the calculated volume is 18.6 Å³ per atom. For the energy, the calculation gives -7.165 eV/atom.

=====

Below is FeHgAsSe2 after structural relaxation, with properties calculated at the GGA-PBE level.

Cell and atoms, written as POSCAR:
```
FeHgAsSe2
1.0
4.827 0.000 0.000
0.000 4.827 0.000
0.000 0.000 4.718
As Se Hg Fe
1 2 1 1
Cartesian
0.000 0.000 2.359
2.413 0.000 0.000
0.000 2.413 0.000
2.413 2.413 2.359
0.000 0.000 0.000
```

The crystal system is tetragonal. For the formation energy from raw total energies, the calculation gives 32.16 kJ/mol of atoms. For the density, the calculation gives 7.4 g cm⁻³. Its space-group type is P4/mmm (123). For the distance to the lowest polymorph of the same formula, the calculation gives 0.0000 eV/atom. The value obtained for the spin magnetization is 2.75 μB/f.u. The value obtained for the calculated volume is 22.0 Å³ per atom. For the energy, the calculation gives -3.743 eV/atom.

=====

Below is HoLuTl2 after structural relaxation, with properties calculated at the GGA-PBE level.

Cell and atoms, written as POSCAR:
```
HoLuTl2
1.0
-5.066 0.004 -1.611
-3.912 -0.718 3.527
-3.196 4.049 1.286
Tl Ho Lu
2 1 1
Cartesian
-3.043 0.834 0.801
-9.130 2.501 2.402
-6.087 1.667 1.601
0.000 0.000 0.000
```

The crystal system is cubic. As for the formation energy: -0.295 eV per atom. For the density, the calculation gives 11.7 g cm⁻³. Its space-group type is Fm-3m (225). For the distance to the lowest polymorph of the same formula, the calculation gives 0.0023 eV/atom. The value obtained for the spin magnetization is 0.00 μB/f.u. The value obtained for the calculated volume is 26.6 Å³ per atom. For the energy, the calculation gives -3.752 eV/atom.

=====

Below is PrYIn6 after structural relaxation, with properties calculated at the GGA-PBE level.

Cell and atoms, written as POSCAR:
```
PrYIn6
1.0
5.306 0.000 0.000
0.000 6.709 -0.216
0.000 -3.164 5.920
In Y Pr
6 1 1
Cartesian
2.653 2.586 0.435
0.000 1.018 5.411
0.000 2.686 2.284
2.653 4.300 3.193
0.000 -0.856 2.396
2.653 5.834 0.328
0.000 -2.339 5.408
2.653 0.947 3.365
```

The crystal system is hexagonal. As for the formation energy: -0.391 eV per atom. For the density, the calculation gives 7.4 g cm⁻³. Its space-group type is P-6m2 (187). For the distance to the lowest polymorph of the same formula, the calculation gives 0.0588 eV/atom. The value obtained for the spin magnetization is 0.00 μB/f.u. The value obtained for the calculated volume is 25.9 Å³ per atom. For the energy, the calculation gives -3.851 eV/atom.

=====

> What is the formula in the second record?

Np2As3Pd